Entry 1:
Compound: Ag2SbIr
Source: Alexandria
Functional: GGA-PBEsol
Structure: optimized geometry

POSCAR file:
```
Ag2SbIr
1.0
4.1497 0.0000 0.0000
0.0000 4.1556 0.0000
0.0000 0.0000 7.8922
Ag Sb Ir
4 2 2
Direct
0.0000 0.0000 0.0000
0.0000 0.5000 0.2496
0.5000 0.0000 0.7496
0.5000 0.5000 0.5000
0.0000 0.0000 0.4995
0.5000 0.5000 0.9995
0.0000 0.5000 0.7502
0.5000 0.0000 0.2502
```

As for the formation energy without anion corrections: 0.2033 eV/atom.


Entry 2:
Compound: AgSbIr2
Source: Alexandria
Functional: GGA-PBEsol
Structure: optimized geometry

POSCAR file:
```
AgSbIr2
1.0
2.8758 0.0000 0.0000
0.0000 2.8758 0.0000
0.0000 0.0000 8.3339
Ag Sb Ir
1 1 2
Direct
0.0000 0.0000 0.0000
0.5000 0.5000 0.6970
0.0000 0.0000 0.4410
0.5000 0.5000 0.2380
```

As for the formation energy without anion corrections: 0.3671 eV/atom.


Entry 3:
Compound: ScAg2Ir
Source: Alexandria
Functional: GGA-PBEsol
Structure: optimized geometry

POSCAR file:
```
ScAg2Ir
1.0
6.4270 0.0000 0.0000
0.0000 6.4270 0.0000
0.0000 0.0000 6.4270
Sc Ag Ir
4 8 4
Direct
0.0000 0.0000 0.0000
0.0000 0.5000 0.5000
0.5000 0.0000 0.5000
0.5000 0.5000 0.0000
0.2500 0.2500 0.2500
0.2500 0.2500 0.7500
0.2500 0.7500 0.2500
0.2500 0.7500 0.7500
0.7500 0.2500 0.2500
0.7500 0.2500 0.7500
0.7500 0.7500 0.2500
0.7500 0.7500 0.7500
0.0000 0.0000 0.5000
0.0000 0.5000 0.0000
0.5000 0.0000 0.0000
0.5000 0.5000 0.5000
```

As for the excess energy over the best structure of this formula in the dataset: 36 meV per atom.


Entry 4:
Compound: ScAgIr2
Source: Alexandria
Functional: GGA-PBEsol
Structure: optimized geometry

POSCAR file:
```
ScAgIr2
1.0
2.8461 0.0000 0.0000
0.0000 2.8461 0.0000
0.0000 0.0000 7.7813
Sc Ag Ir
1 1 2
Direct
0.0000 0.0000 0.0000
0.0000 0.0000 0.5000
0.5000 0.5000 0.2437
0.5000 0.5000 0.7563
```

The final energy comes out at -0.55241 Ry per atom.